(1)
## NdIrPd (PBE)

Data for crystalline NdIrPd at its relaxed geometry.

```
3
Lattice="-3.5249 1.1050 2.7638 0.8015 1.2956 4.3547 -0.6562 4.3897 1.2585" Properties=species:S:1:pos:R:3 pbc="T T T"
Ir 0.0000 0.0000 0.0000
Nd -2.5347 5.0928 6.2827
Pd -0.8449 1.6976 2.0942
```

Calculated values
- ΔH_f (0 K): -163.0 meV/atom
- Distance to the lowest polymorph of the same formula: 0.00 eV per formula unit



(2)
## PrNd2Sn3IrPd2 (PBE)

Data for crystalline PrNd2Sn3IrPd2 at its relaxed geometry.

```
9
Lattice="4.1450 0.0000 0.0000 0.0000 6.6035 3.8145 0.0000 -6.6035 3.8145" Properties=species:S:1:pos:R:3 pbc="T T T"
Ir 0.0000 0.0000 0.0067
Nd 0.0000 3.9020 5.3740
Nd 0.0000 -3.9020 5.3740
Pd 2.0725 2.2106 3.8125
Pd 2.0725 -2.2106 3.8125
Pr 0.0000 0.0000 4.5028
Sn 2.0725 4.9608 2.8704
Sn 2.0725 0.0000 1.8926
Sn 2.0725 -4.9608 2.8704
```

Calculated values
- VASP energy: -5.941 eV/atom



(3)
## Nd3Si4Ir2Pd2 (PBE)

Data for crystalline Nd3Si4Ir2Pd2 at its relaxed geometry.

```
11
Lattice="8.4971 -0.1347 9.4975 3.8456 2.5208 11.8860 -7.1461 -3.8228 -9.8357" Properties=species:S:1:pos:R:3 pbc="T T T"
Ir 3.0828 0.5960 5.3410
Ir 9.2599 1.7902 16.0425
Nd 0.0000 0.0000 0.0000
Nd 2.4868 -1.6286 2.9689
Nd 2.7098 0.1919 8.5789
Pd 5.6239 -1.0221 8.4038
Pd -0.4273 -0.4145 3.1440
Si 5.5787 1.0785 9.6650
Si 6.7640 1.3077 11.7185
Si 4.4001 -1.2587 6.2837
Si 0.7965 -0.1780 5.2641
```

Calculated values
- VASP energy: -6.831 eV/atom



(4)
## NdSi2IrPd (PBE)

Data for crystalline NdSi2IrPd at its relaxed geometry.

```
5
Lattice="-2.0740 2.0740 5.0763 2.0740 -2.0740 5.0763 2.0740 2.0740 -5.0763" Properties=species:S:1:pos:R:3 pbc="T T T"
Ir 0.0000 0.0000 0.0000
Nd 2.0740 0.0000 2.5381
Pd 0.0000 0.0000 5.0763
Si 0.0000 2.0740 1.3147
Si 0.0000 2.0740 3.7615
```

Calculated values
- VASP energy: -6.870 eV/atom



(5)
## NdSn2IrPd (PBE)

Data for crystalline NdSn2IrPd at its relaxed geometry.

```
10
Lattice="-0.8027 -4.2527 1.5761 4.0567 -1.3890 -1.6818 4.6469 2.5090 9.1368" Properties=species:S:1:pos:R:3 pbc="T T T"
Ir 3.7519 0.2361 2.5480
Ir 2.5220 -0.5480 6.5359
Nd 0.7628 -1.4978 3.0770
Nd 5.5111 1.1860 6.0069
Pd 0.0000 0.0000 0.0000
Pd 1.6270 -2.8208 -0.0529
Sn 2.6193 -0.3754 0.3211
Sn 2.3235 1.2545 4.5684
Sn 3.9504 -1.5663 4.5155
Sn 3.6546 0.0636 8.7628
```

Calculated values
- VASP energy: -6.042 eV/atom



(6)
## Tb2NdSn3Ir2Pd (PBE)

Data for crystalline Tb2NdSn3Ir2Pd at its relaxed geometry.

```
9
Lattice="4.0357 0.0000 0.0000 0.0000 6.5373 3.7561 0.0000 -6.5373 3.7561" Properties=species:S:1:pos:R:3 pbc="T T T"
Ir 2.0179 2.2187 3.7476
Ir 2.0179 -2.2187 3.7476
Nd 0.0000 0.0000 4.4125
Pd 0.0000 0.0000 0.0297
Sn 2.0179 4.8339 2.7879
Sn 2.0179 0.0000 1.9409
Sn 2.0179 -4.8339 2.7879
Tb 0.0000 3.8431 5.2974
Tb 0.0000 -3.8431 5.2974
```

Calculated values
- VASP energy: -6.278 eV/atom



(7)
## Nd2TmSn3Ir2Pd (PBE)

Data for crystalline Nd2TmSn3Ir2Pd at its relaxed geometry.

```
9
Lattice="4.0759 0.0000 0.0000 0.0000 6.4925 3.7855 0.0000 -6.4925 3.7855" Properties=species:S:1:pos:R:3 pbc="T T T"
Ir 2.0380 2.0805 3.8072
Ir 2.0380 -2.0805 3.8072
Nd 0.0000 2.6800 1.5709
Nd 0.0000 -2.6800 1.5709
Pd 0.0000 0.0000 7.5189
Sn 2.0380 0.0000 1.9596
Sn 2.0380 1.6680 6.5818
Sn 2.0380 -1.6680 6.5818
Tm 0.0000 0.0000 4.4571
```

Calculated values
- VASP energy: -6.255 eV/atom



(8)
## Pm2NdIr2 (PBE)

Data for crystalline Pm2NdIr2 at its relaxed geometry.

```
10
Lattice="-5.6177 0.3110 -1.1444 -0.4490 -4.3054 1.0343 -0.3306 2.5289 10.3837" Properties=species:S:1:pos:R:3 pbc="T T T"
Ir -4.9021 -2.6326 1.2766
Ir -1.3694 -1.9974 5.4544
Ir -5.0279 0.5319 4.8191
Ir -1.4952 1.1671 8.9970
Nd -0.4726 -0.3290 3.2129
Nd -5.9247 -1.1364 7.0607
Pm -1.8586 -3.0606 0.8163
Pm -3.9078 -2.0617 4.0847
Pm -2.4895 0.5962 6.1889
Pm -4.5387 1.5951 9.4573
```

Calculated values
- ΔH_f (0 K): -621.9 meV/atom



(9)
## PrNdIr (PBE)

Data for crystalline PrNdIr at its relaxed geometry.

```
3
Lattice="2.4226 1.3987 3.9560 -2.4226 1.3987 3.9560 0.0000 -2.7973 3.9560" Properties=species:S:1:pos:R:3 pbc="T T T"
Ir 0.0000 0.0000 2.9670
Nd 0.0000 0.0000 8.9010
Pr 0.0000 0.0000 0.0000
```

Calculated values
- ΔH_f (0 K): 213.6 meV/atom



(10)
## PrNdIr2 (PBE)

Data for crystalline PrNdIr2 at its relaxed geometry.

```
4
Lattice="4.2419 0.0000 0.0000 0.0000 2.0280 5.4822 0.0000 -2.0280 5.4822" Properties=species:S:1:pos:R:3 pbc="T T T"
Ir 0.0000 0.0000 0.8319
Ir 2.1209 0.0000 10.1221
Nd 0.0000 0.0000 3.8920
Pr 2.1209 0.0000 7.0827
```

Calculated values
- ΔH_f (0 K): -601.2 meV/atom



(11)
## Pr3NdIr8 (PBE)

Data for crystalline Pr3NdIr8 at its relaxed geometry.

```
12
Lattice="-0.1077 5.9967 7.2705 0.2476 0.9857 9.3701 4.6967 3.4389 7.4126" Properties=species:S:1:pos:R:3 pbc="T T T"
Ir 0.2481 3.6469 5.1343
Ir 0.4256 1.1430 6.1835
Ir 0.3737 4.1445 9.8281
Ir 1.5115 3.2567 7.5167
Ir 2.6488 2.3689 5.2054
Ir 2.5975 5.3707 8.8497
Ir 2.7751 2.8660 9.8991
Ir 3.9296 8.4670 19.5425
Nd 0.6047 1.3030 3.0074
Pr 0.0007 0.0015 0.0034
Pr 2.4180 5.2099 12.0249
Pr 3.0225 6.5126 15.0316
```

Calculated values
- ΔH_f (0 K): -676.4 meV/atom



(12)
## PrNd3Ir8 (PBE)

Data for crystalline PrNd3Ir8 at its relaxed geometry.

```
12
Lattice="2.7176 1.5690 8.8698 -2.7176 1.5690 8.8698 0.0000 -3.1380 8.8698" Properties=species:S:1:pos:R:3 pbc="T T T"
Ir 0.0000 1.5696 10.5278
Ir 1.3597 0.7850 6.1029
Ir -1.3597 0.7850 6.1029
Ir 0.0000 0.0000 8.3152
Ir 1.3593 -0.7848 10.5278
Ir -1.3593 -0.7848 10.5278
Ir 0.0000 -1.5701 6.1029
Ir 0.0000 0.0000 21.6211
Nd 0.0000 0.0000 0.0000
Nd 0.0000 0.0000 13.3074
Nd 0.0000 0.0000 16.6306
Pr 0.0000 0.0000 3.3249
```

Calculated values
- ΔH_f (0 K): -692.5 meV/atom



(13)
## PrNdSn2Ir4 (PBE)

Data for crystalline PrNdSn2Ir4 at its relaxed geometry.

```
8
Lattice="4.5619 0.0000 0.0000 -2.2809 3.9507 0.0000 0.0000 0.0000 9.2626" Properties=species:S:1:pos:R:3 pbc="T T T"
Ir 2.2809 1.3169 1.4277
Ir 0.0000 0.0000 3.1569
Ir 0.0000 0.0000 6.1058
Ir 2.2809 1.3169 7.8350
Nd 0.0000 0.0000 0.0000
Pr 2.2809 1.3169 4.6313
Sn 0.0000 2.6338 2.3031
Sn 0.0000 2.6338 6.9595
```

Calculated values
- VASP energy: -7.060 eV/atom



(14)
## PrNdZnIr2 (PBE)

Data for crystalline PrNdZnIr2 at its relaxed geometry.

```
5
Lattice="-2.1313 2.9287 4.3514 2.1313 -2.9287 4.3514 2.1313 2.9287 -4.3514" Properties=species:S:1:pos:R:3 pbc="T T T"
Ir 0.0000 1.5427 4.3500
Ir 2.1313 1.3860 -0.0015
Nd 0.0000 0.0000 6.9617
Pr 0.0000 0.0000 1.7428
Zn 0.0000 2.9287 0.0013
```

Calculated values
- ΔH_f (0 K): -632.5 meV/atom



(15)
## NdIrPt (PBE)

Data for crystalline NdIrPt at its relaxed geometry.

```
3
Lattice="-0.1378 4.5605 0.6777 1.3485 1.7732 4.0390 3.9229 2.4118 0.2653" Properties=species:S:1:pos:R:3 pbc="T T T"
Ir 0.0000 0.0000 0.0000
Nd 3.8501 6.5591 3.7365
Pt 1.2834 2.1864 1.2455
```

Calculated values
- ΔH_f (0 K): -177.2 meV/atom
- Distance to the lowest polymorph of the same formula: 0.00 eV per formula unit



(16)
## NdSi2IrPt (PBE)

Data for crystalline NdSi2IrPt at its relaxed geometry.

```
10
Lattice="-1.4977 -0.7892 -3.8453 3.9243 -0.2042 -1.4866 0.2193 -9.7905 1.9239" Properties=species:S:1:pos:R:3 pbc="T T T"
Ir 0.0000 0.0000 0.0000
Ir 1.2133 -0.4967 -2.6659
Nd 2.0179 -2.5913 -0.2541
Nd -0.5853 -7.6959 -0.4879
Pt -0.6667 -4.0637 -1.2016
Pt 2.0993 -6.2235 0.4596
Si -0.7209 -1.6402 -1.6779
Si 0.1096 -4.8953 0.9619
Si 1.3230 -5.3920 -1.7040
Si 2.1536 -8.6470 0.9358
```

Calculated values
- VASP energy: -7.211 eV/atom



(17)
## Nd3Sn3Ir2Pt (PBE)

Data for crystalline Nd3Sn3Ir2Pt at its relaxed geometry.

```
9
Lattice="-4.6930 -1.6833 5.6469 -1.0658 -3.0306 -6.8136 2.4245 -3.2229 1.0542" Properties=species:S:1:pos:R:3 pbc="T T T"
Ir -2.2717 -3.7439 2.0205
Ir -1.0626 -4.1929 -2.1330
Nd -2.7505 -0.9866 3.3096
Nd -2.3836 -1.9511 -0.4829
Nd -0.6246 -1.7762 -3.9934
Pt 0.0000 0.0000 0.0000
Sn 0.0139 -2.0413 1.9691
Sn 0.9401 -2.3853 -1.2128
Sn -3.0760 -5.1216 -0.3417
```

Calculated values
- VASP energy: -6.421 eV/atom



(18)
## Nd3Sn3IrPt2 (PBE)

Data for crystalline Nd3Sn3IrPt2 at its relaxed geometry.

```
9
Lattice="-5.5121 4.4587 -2.7400 -1.7110 -5.6558 4.7806 0.4815 2.5686 3.2112" Properties=species:S:1:pos:R:3 pbc="T T T"
Ir 0.2408 1.2843 1.6056
Nd -3.0075 3.9118 -0.0091
Nd -2.7258 0.7926 2.4437
Nd -0.7675 -2.0487 4.4228
Pt -4.2451 1.0872 -0.2331
Pt -2.9780 -2.2843 2.2738
Sn -1.3709 1.1089 -0.6814
Sn -0.4255 -1.4066 1.1890
Sn -5.4267 -0.8994 1.5332
```

Calculated values
- VASP energy: -6.249 eV/atom



(19)
## NdTm2Zn3Ir2Pt (PBE)

Data for crystalline NdTm2Zn3Ir2Pt at its relaxed geometry.

```
9
Lattice="3.9175 0.0000 0.0000 0.0000 6.2521 3.5720 0.0000 -6.2521 3.5720" Properties=species:S:1:pos:R:3 pbc="T T T"
Ir 1.9588 2.1628 3.5893
Ir 1.9588 -2.1628 3.5893
Nd 0.0000 0.0000 2.9485
Pt 0.0000 0.0000 7.0873
Tm 0.0000 3.7048 2.1195
Tm 0.0000 -3.7048 2.1195
Zn 1.9588 4.6678 4.4542
Zn 1.9588 0.0000 5.3585
Zn 1.9588 -4.6678 4.4542
```

Calculated values
- ΔH_f (0 K): -772.0 meV/atom



(20)
## Nd2YZn3Ir2Pt (PBE)

Data for crystalline Nd2YZn3Ir2Pt at its relaxed geometry.

```
9
Lattice="3.9721 0.0000 0.0000 0.0000 6.2942 3.6464 0.0000 -6.2942 3.6464" Properties=species:S:1:pos:R:3 pbc="T T T"
Ir 1.9860 2.0435 3.6376
Ir 1.9860 -2.0435 3.6376
Nd 0.0000 3.6980 2.1449
Nd 0.0000 -3.6980 2.1449
Pt 0.0000 0.0000 0.0307
Y 0.0000 0.0000 2.9727
Zn 1.9860 1.5408 0.9238
Zn 1.9860 -1.5408 0.9238
Zn 1.9860 0.0000 5.4623
```

Calculated values
- ΔH_f (0 K): -720.8 meV/atom



(21)
## NdY2Zn3Ir2Pt (PBE)

Data for crystalline NdY2Zn3Ir2Pt at its relaxed geometry.

```
9
Lattice="-2.7956 2.2940 -1.5652 -4.5970 -5.5907 0.0169 0.3958 4.3962 5.7363" Properties=species:S:1:pos:R:3 pbc="T T T"
Ir -4.3517 -1.1506 1.1261
Ir -2.6527 2.2479 3.0723
Nd -1.7326 -0.4926 2.3726
Pt -4.1833 -1.1894 5.7288
Y -2.7205 -3.3086 0.0100
Y 0.2342 2.6017 3.3947
Zn -5.8794 -3.3260 0.6663
Zn -4.5575 0.2486 3.5443
Zn -2.1511 4.1316 4.9372
```

Calculated values
- ΔH_f (0 K): -747.0 meV/atom



(22)
## Nd3Zn3Ir2Pt (PBE)

Data for crystalline Nd3Zn3Ir2Pt at its relaxed geometry.

```
9
Lattice="7.3304 0.0000 0.0000 -3.6652 6.3483 0.0000 0.0000 0.0000 4.0044" Properties=species:S:1:pos:R:3 pbc="T T T"
Ir 3.6652 2.1161 2.0022
Ir 0.0000 4.2322 2.0022
Nd 4.3115 0.0000 0.0000
Nd 1.5095 2.6144 0.0000
Nd -2.1557 3.7339 0.0000
Pt 0.0000 0.0000 0.0000
Zn 1.8040 0.0000 2.0022
Zn -0.9020 1.5623 2.0022
Zn 2.7632 4.7860 2.0022
```

Calculated values
- ΔH_f (0 K): -696.2 meV/atom



(23)
## RbNd2Ir (PBE)

Data for crystalline RbNd2Ir at its relaxed geometry.

```
8
Lattice="-0.0474 -4.2931 0.0830 2.7733 2.0679 -2.5442 14.0436 0.1431 15.4241" Properties=species:S:1:pos:R:3 pbc="T T T"
Ir 0.0000 0.0000 0.0000
Ir 7.0218 0.0715 7.7121
Nd 1.8461 -2.1631 0.2542
Nd 6.9614 -2.1110 5.8723
Nd 9.8082 0.0288 7.0906
Nd 14.9234 0.0809 12.7087
Rb 5.3440 -0.0167 2.1875
Rb 11.4256 -2.0655 10.7753
```

Calculated values
- VASP energy: -5.143 eV/atom



(24)
## RbNdIr (PBE)

Data for crystalline RbNdIr at its relaxed geometry.

```
3
Lattice="0.0000 3.5872 3.5872 3.5872 0.0000 3.5872 3.5872 3.5872 0.0000" Properties=species:S:1:pos:R:3 pbc="T T T"
Ir 0.0000 0.0000 0.0000
Nd 5.3808 5.3808 5.3808
Rb 1.7936 1.7936 1.7936
```

Calculated values
- VASP energy: -4.491 eV/atom



(25)
## Nd7Ir2S2 (PBE)

Data for crystalline Nd7Ir2S2 at its relaxed geometry.

```
11
Lattice="-1.0616 -9.2417 -0.5849 5.9601 3.5574 6.2209 -8.3650 -2.6109 -3.1761" Properties=species:S:1:pos:R:3 pbc="T T T"
Ir -0.4386 -5.3656 1.3215
Ir -3.9441 -1.8664 0.0843
Nd 2.2846 -5.8015 3.6079
Nd -1.1793 -2.6979 -0.0928
Nd 1.8466 -0.3713 4.1932
Nd -2.3416 -8.6785 0.8484
Nd -0.3816 -3.1729 3.3042
Nd -7.2422 -10.3210 -2.5117
Nd -3.4744 -5.1356 1.4716
S 1.1521 -1.3369 1.3256
S -3.9601 -6.8003 -1.0139
```

Calculated values
- VASP energy: -6.355 eV/atom